Record 1
Entry from Alexandria via LeMat-Bulk: crystalline Rb2MnCrBr6 at its relaxed geometry (GGA-PBE).

## Properties
- Volume: 31.41 Å³ per atom
- E_form (uncorrected): -1114 meV/atom
- Final energy: -41.908 eV/f.u.

Cell lengths 7.425, 7.434, 13.566 Å; angles 90.00, 122.96, 90.00 degrees
Space group P2_1/c (No. 14)
One atom of each set of equivalent atoms:
Rb (0.247, 0.011, 0.250) x4
Mn (0.500, 0.000, 0.000) x2
Cr (0.000, 0.000, 0.500) x2
Br (0.190, 0.217, 0.994) x4
Br (0.279, 0.696, 0.995) x4
Br (0.285, 0.502, 0.275) x4

=====

Record 2
Entry from Alexandria via LeMat-Bulk: crystalline Rb2MnCrBr6 at its relaxed geometry (GGA-PBE).

## Properties
- Volume: 30.61 Å³ per atom
- E_form (uncorrected): -1112 meV/atom
- Final energy: -41.884 eV/f.u.
- Fermi-level density of states: 8.324 states/eV/cell

Cell lengths 10.699, 10.699, 10.699 Å; angles 90.00, 90.00, 90.00 degrees
Space group Fm-3m (No. 225)
One atom of each set of equivalent atoms:
Rb (0.250, 0.250, 0.250) x8
Mn (0.000, 0.000, 0.000) x4
Cr (0.000, 0.000, 0.500) x4
Br (0.000, 0.000, 0.250) x24

=====

Record 3
Entry from Alexandria via LeMat-Bulk: crystalline MnCrSe2Br at its relaxed geometry (GGA-PBE).

## Properties
- Volume: 24.11 Å³ per atom
- E_form (uncorrected): 182 meV/atom
- Final energy: -26.523 eV/f.u.
- Fermi-level density of states: 3.428 states/eV/cell

Cell lengths 4.929, 4.929, 4.961 Å; angles 90.00, 90.00, 90.00 degrees
Space group P4/mmm (No. 123)
One atom of each set of equivalent atoms:
Mn (0.000, 0.000, 0.000) x1
Cr (0.500, 0.500, 0.500) x1
Se (0.000, 0.500, 0.500) x2
Br (0.500, 0.500, 0.000) x1

=====

Record 4
Entry from Alexandria via LeMat-Bulk: crystalline Cr2MoBr at its relaxed geometry (GGA-PBE).

## Properties
- Volume: 17.24 Å³ per atom
- E_form (uncorrected): 509 meV/atom
- Final energy: -29.715 eV/f.u.
- Fermi-level density of states: 10.728 states/eV/cell

Cell lengths 3.1716, 3.1716, 23.7484 Å; angles 90.00, 90.00, 120.00 degrees
Space group R-3m (No. 166, hexagonal axes)
One atom of each set of equivalent atoms:
Cr (0.0000, 0.0000, 0.2436) x6
Mo (0.0000, 0.0000, 0.5000) x3
Br (0.0000, 0.0000, 0.0000) x3

=====

Record 5
Entry from Alexandria via LeMat-Bulk: crystalline Cr2MoBr at its relaxed geometry (GGA-PBE).

## Properties
- Volume: 15.27 Å³ per atom
- E_form (uncorrected): 844 meV/atom
- Final energy: -28.374 eV/f.u.
- Fermi-level density of states: 6.090 states/eV/cell

Cell lengths 5.668, 7.088, 3.040 Å; angles 90.00, 90.00, 90.00 degrees
Space group Cmmm (No. 65)
One atom of each set of equivalent atoms:
Cr (0.250, 0.250, 0.000) x4
Mo (0.000, 0.000, 0.500) x2
Br (0.000, 0.500, 0.500) x2

=====

Record 6
Entry from Alexandria via LeMat-Bulk: crystalline Cr2MoBr at its relaxed geometry (GGA-PBE).

## Properties
- Volume: 17.35 Å³ per atom
- E_form (uncorrected): 1023 meV/atom
- Final energy: -27.658 eV/f.u.
- Fermi-level density of states: 11.124 states/eV/cell

Cell lengths 6.995, 6.995, 5.674 Å; angles 90.00, 90.00, 90.00 degrees
Space group I-42d (No. 122)
One atom of each set of equivalent atoms:
Cr (0.247, 0.250, 0.125) x8
Mo (0.000, 0.000, 0.000) x4
Br (0.000, 0.000, 0.500) x4

=====

Record 7
Entry from Alexandria via LeMat-Bulk: crystalline Cr2MoBr at its relaxed geometry (GGA-PBE).

## Properties
- Volume: 14.10 Å³ per atom
- E_form (uncorrected): 862 meV/atom
- Final energy: -28.305 eV/f.u.
- Fermi-level density of states: 10.510 states/eV/cell

Cell lengths 2.946, 4.412, 8.678 Å; angles 90.00, 90.00, 90.00 degrees
Space group Immm (No. 71)
One atom of each set of equivalent atoms:
Cr (0.000, 0.000, 0.240) x4
Mo (0.000, 0.500, 0.000) x2
Br (0.000, 0.500, 0.500) x2

=====

Record 8
Entry from Alexandria via LeMat-Bulk: crystalline Cr2MoBr at its relaxed geometry (GGA-PBE).

## Properties
- Volume: 15.82 Å³ per atom
- E_form (uncorrected): 522 meV/atom
- Final energy: -29.663 eV/f.u.
- Fermi-level density of states: 3.324 states/eV/cell

Cell lengths 3.002, 3.002, 7.024 Å; angles 90.00, 90.00, 90.00 degrees
Space group P4mm (No. 99)
One atom of each set of equivalent atoms:
Cr (0.000, 0.000, 0.000) x1
Cr (0.500, 0.500, 0.194) x1
Mo (0.000, 0.000, 0.413) x1
Br (0.500, 0.500, 0.693) x1

=====

Record 9
Entry from Alexandria via LeMat-Bulk: crystalline CrMoBr4 at its relaxed geometry (GGA-PBE).

## Properties
- Volume: 28.99 Å³ per atom
- E_form (uncorrected): 1271 meV/atom
- Final energy: -19.521 eV/f.u.
- Fermi-level density of states: 36.175 states/eV/cell

Cell lengths 8.861, 8.861, 8.861 Å; angles 90.00, 90.00, 90.00 degrees
Space group F-43m (No. 216)
One atom of each set of equivalent atoms:
Cr (0.000, 0.000, 0.000) x4
Mo (0.250, 0.250, 0.750) x4
Br (0.125, 0.125, 0.375) x16

=====

Record 10
Entry from Alexandria via LeMat-Bulk: crystalline Cr2MoBr at its relaxed geometry (GGA-PBE).

## Properties
- Volume: 14.37 Å³ per atom
- E_form (uncorrected): 1089 meV/atom
- Final energy: -27.393 eV/f.u.
- Fermi-level density of states: 26.136 states/eV/cell

Cell lengths 6.126, 6.126, 6.126 Å; angles 90.00, 90.00, 90.00 degrees
Space group Fm-3m (No. 225)
One atom of each set of equivalent atoms:
Cr (0.250, 0.250, 0.250) x8
Mo (0.000, 0.000, 0.000) x4
Br (0.000, 0.000, 0.500) x4

=====

Record 11
Entry from Alexandria via LeMat-Bulk: crystalline Cr2MoBr at its relaxed geometry (GGA-PBE).

## Properties
- Volume: 16.21 Å³ per atom
- E_form (uncorrected): 1014 meV/atom
- Final energy: -27.696 eV/f.u.
- Fermi-level density of states: 7.727 states/eV/cell

Cell lengths 4.137, 4.137, 7.575 Å; angles 90.00, 90.00, 90.00 degrees
Space group I4/mmm (No. 139)
One atom of each set of equivalent atoms:
Cr (0.000, 0.500, 0.250) x4
Mo (0.000, 0.000, 0.000) x2
Br (0.000, 0.000, 0.500) x2

=====

Record 12
Entry from Alexandria via LeMat-Bulk: crystalline Cr2MoBr at its relaxed geometry (GGA-PBE).

## Properties
- Volume: 14.68 Å³ per atom
- E_form (uncorrected): 801 meV/atom
- Final energy: -28.545 eV/f.u.
- Fermi-level density of states: 8.264 states/eV/cell

Cell lengths 3.016, 4.309, 9.033 Å; angles 90.00, 90.00, 90.00 degrees
Space group Imm2 (No. 44)
One atom of each set of equivalent atoms:
Cr (0.000, 0.000, 0.000) x2
Cr (0.000, 0.500, 0.259) x2
Mo (0.000, 0.500, 0.770) x2
Br (0.000, 0.000, 0.522) x2

=====

Record 13
Entry from Alexandria via LeMat-Bulk: crystalline Cr2MoBr at its relaxed geometry (GGA-PBE).

## Properties
- Volume: 14.50 Å³ per atom
- E_form (uncorrected): 873 meV/atom
- Final energy: -28.260 eV/f.u.
- Fermi-level density of states: 4.176 states/eV/cell

Cell lengths 2.988, 4.224, 4.597 Å; angles 90.00, 90.00, 90.00 degrees
Space group Pmmm (No. 47)
One atom of each set of equivalent atoms:
Cr (0.000, 0.000, 0.000) x1
Cr (0.500, 0.000, 0.500) x1
Mo (0.000, 0.500, 0.500) x1
Br (0.500, 0.500, 0.000) x1

=====

Record 14
Entry from Alexandria via LeMat-Bulk: crystalline Cr2MoBr at its relaxed geometry (GGA-PBE).

## Properties
- Volume: 15.15 Å³ per atom
- E_form (uncorrected): 971 meV/atom
- Final energy: -27.867 eV/f.u.
- Fermi-level density of states: 23.788 states/eV/cell

Cell lengths 6.236, 6.236, 6.236 Å; angles 90.00, 90.00, 90.00 degrees
Space group F-43m (No. 216)
One atom of each set of equivalent atoms:
Cr (0.000, 0.000, 0.000) x4
Cr (0.250, 0.250, 0.250) x4
Mo (0.000, 0.000, 0.500) x4
Br (0.250, 0.250, 0.750) x4

=====

Record 15
Entry from Alexandria via LeMat-Bulk: crystalline Cr2MoBr at its relaxed geometry (GGA-PBE).

## Properties
- Volume: 15.04 Å³ per atom
- E_form (uncorrected): 746 meV/atom
- Final energy: -28.765 eV/f.u.
- Fermi-level density of states: 7.319 states/eV/cell

Cell lengths 9.067, 2.980, 4.649 Å; angles 90.00, 106.66, 90.00 degrees
Space group Cm (No. 8)
One atom of each set of equivalent atoms:
Cr (0.000, 0.000, 0.000) x2
Cr (0.215, 0.500, 0.119) x2
Mo (0.221, 0.000, 0.632) x2
Br (0.469, 0.000, 0.466) x2

=====

Record 16
Entry from Alexandria via LeMat-Bulk: crystalline Cr2MoBr at its relaxed geometry (GGA-PBE).

## Properties
- Volume: 16.07 Å³ per atom
- E_form (uncorrected): 597 meV/atom
- Final energy: -29.363 eV/f.u.
- Fermi-level density of states: 10.476 states/eV/cell

Cell lengths 3.0629, 3.0629, 23.7324 Å; angles 90.00, 90.00, 120.00 degrees
Space group R3m (No. 160, hexagonal axes)
One atom of each set of equivalent atoms:
Cr (0.0000, 0.0000, 0.0000) x3
Cr (0.0000, 0.0000, 0.2572) x3
Mo (0.0000, 0.0000, 0.5190) x3
Br (0.0000, 0.0000, 0.7511) x3

=====

Record 17
Entry from Alexandria via LeMat-Bulk: crystalline Cr2MoBr at its relaxed geometry (GGA-PBE).

## Properties
- Volume: 14.31 Å³ per atom
- E_form (uncorrected): 872 meV/atom
- Final energy: -28.262 eV/f.u.
- Fermi-level density of states: 4.450 states/eV/cell

Cell lengths 4.369, 4.369, 2.998 Å; angles 90.00, 90.00, 90.00 degrees
Space group P4/mmm (No. 123)
One atom of each set of equivalent atoms:
Cr (0.000, 0.500, 0.000) x2
Mo (0.000, 0.000, 0.500) x1
Br (0.500, 0.500, 0.500) x1

=====

Record 18
Entry from Alexandria via LeMat-Bulk: crystalline Cr2MoBr at its relaxed geometry (GGA-PBE).

## Properties
- Volume: 17.21 Å³ per atom
- E_form (uncorrected): 549 meV/atom
- Final energy: -29.553 eV/f.u.
- Fermi-level density of states: 2.669 states/eV/cell

Cell lengths 3.339, 3.162, 6.688 Å; angles 90.00, 102.94, 90.00 degrees
Space group Pm (No. 6)
One atom of each set of equivalent atoms:
Cr (0.000, 0.000, 0.000) x1
Cr (0.440, 0.500, 0.855) x1
Mo (0.851, 0.000, 0.665) x1
Br (0.677, 0.500, 0.272) x1

=====

Record 19
Entry from Alexandria via LeMat-Bulk: crystalline Cr2MoBr at its relaxed geometry (GGA-PBE).

## Properties
- Volume: 17.46 Å³ per atom
- E_form (uncorrected): 464 meV/atom
- Final energy: -29.893 eV/f.u.
- Fermi-level density of states: 2.635 states/eV/cell

Cell lengths 4.471, 4.522, 6.908 Å; angles 90.00, 90.00, 90.00 degrees
Space group Cmmm (No. 65)
One atom of each set of equivalent atoms:
Cr (0.000, 0.000, 0.204) x4
Mo (0.000, 0.500, 0.000) x2
Br (0.000, 0.500, 0.500) x2

=====

Record 20
Entry from Alexandria via LeMat-Bulk: crystalline SrCrMoBr2 at its relaxed geometry (GGA-PBE).

## Properties
- Volume: 44.78 Å³ per atom
- E_form (uncorrected): 808 meV/atom
- Final energy: -21.440 eV/f.u.
- Fermi-level density of states: 2.320 states/eV/cell

Cell lengths 5.730, 5.730, 6.819 Å; angles 90.00, 90.00, 90.00 degrees
Space group P4/mmm (No. 123)
One atom of each set of equivalent atoms:
Sr (0.000, 0.000, 0.000) x1
Cr (0.000, 0.000, 0.500) x1
Mo (0.500, 0.500, 0.500) x1
Br (0.000, 0.500, 0.000) x2

=====

Record 21
Entry from Alexandria via LeMat-Bulk: crystalline CrBrN2 at its relaxed geometry (GGA-PBE).

## Properties
- Volume: 11.75 Å³ per atom
- E_form (uncorrected): 553 meV/atom
- Final energy: -25.734 eV/f.u.
- Fermi-level density of states: 12.464 states/eV/cell

Cell lengths 2.9487, 2.9487, 18.7324 Å; angles 90.00, 90.00, 120.00 degrees
Space group R-3m (No. 166, hexagonal axes)
One atom of each set of equivalent atoms:
Cr (0.0000, 0.0000, 0.0000) x3
Br (0.0000, 0.0000, 0.5000) x3
N (0.0000, 0.0000, 0.3890) x6

=====

Record 22
Entry from Alexandria via LeMat-Bulk: crystalline CrBr3N at its relaxed geometry (GGA-PBE).

## Properties
- Volume: 21.15 Å³ per atom
- E_form (uncorrected): 1002 meV/atom
- Final energy: -17.957 eV/f.u.
- Fermi-level density of states: 6.891 states/eV/cell

Cell lengths 4.729, 4.729, 4.729 Å; angles 90.00, 90.00, 90.00 degrees
Space group Pm-3m (No. 221)
One atom of each set of equivalent atoms:
Cr (0.000, 0.000, 0.000) x1
Br (0.000, 0.500, 0.500) x3
N (0.500, 0.500, 0.500) x1

=====

Record 23
Entry from Alexandria via LeMat-Bulk: crystalline Cr2BrN at its relaxed geometry (GGA-PBE).

## Properties
- Volume: 18.39 Å³ per atom
- E_form (uncorrected): -55 meV/atom
- Final energy: -29.464 eV/f.u.
- Fermi-level density of states: 1.652 states/eV/cell

Cell lengths 5.698, 5.698, 9.061 Å; angles 90.00, 90.00, 90.00 degrees
Space group I-42d (No. 122)
One atom of each set of equivalent atoms:
Cr (0.128, 0.250, 0.125) x8
Br (0.000, 0.000, 0.500) x4
N (0.000, 0.000, 0.000) x4

=====

Record 24
Entry from Alexandria via LeMat-Bulk: crystalline CrBrN2 at its relaxed geometry (GGA-PBE).

## Properties
- Volume: 13.84 Å³ per atom
- E_form (uncorrected): 1812 meV/atom
- Final energy: -20.700 eV/f.u.
- Fermi-level density of states: 11.191 states/eV/cell

Cell lengths 3.1033, 3.1033, 19.9110 Å; angles 90.00, 90.00, 120.00 degrees
Space group R-3m (No. 166, hexagonal axes)
One atom of each set of equivalent atoms:
Cr (0.0000, 0.0000, 0.0000) x3
Br (0.0000, 0.0000, 0.5000) x3
N (0.0000, 0.0000, 0.0872) x6

=====

Record 25
Entry from Alexandria via LeMat-Bulk: crystalline CrBr3N at its relaxed geometry (GGA-PBE).

## Properties
- Volume: 22.70 Å³ per atom
- E_form (uncorrected): 1362 meV/atom
- Final energy: -16.155 eV/f.u.
- Fermi-level density of states: 12.675 states/eV/cell

Cell lengths 4.841, 4.841, 4.841 Å; angles 90.00, 90.00, 90.00 degrees
Space group Pm-3m (No. 221)
One atom of each set of equivalent atoms:
Cr (0.000, 0.000, 0.000) x1
Br (0.000, 0.000, 0.500) x3
N (0.500, 0.500, 0.500) x1

=====

Record 26
Entry from Alexandria via LeMat-Bulk: crystalline CrBrN2 at its relaxed geometry (GGA-PBE).

## Properties
- Volume: 16.30 Å³ per atom
- E_form (uncorrected): 352 meV/atom
- Final energy: -26.538 eV/f.u.
- Fermi-level density of states: 10.791 states/eV/cell

Cell lengths 8.050, 8.050, 8.050 Å; angles 90.00, 90.00, 90.00 degrees
Space group Fd-3m (No. 227, origin choice 2)
One atom of each set of equivalent atoms:
Cr (0.125, 0.125, 0.125) x8
Br (0.125, 0.125, 0.625) x8
N (0.000, 0.000, 0.000) x16

=====

Record 27
Entry from Alexandria via LeMat-Bulk: crystalline Cr2BrN at its relaxed geometry (GGA-PBE).

## Properties
- Volume: 12.07 Å³ per atom
- E_form (uncorrected): 973 meV/atom
- Final energy: -25.353 eV/f.u.
- Fermi-level density of states: 8.919 states/eV/cell

Cell lengths 5.781, 5.781, 5.781 Å; angles 90.00, 90.00, 90.00 degrees
Space group Fm-3m (No. 225)
One atom of each set of equivalent atoms:
Cr (0.250, 0.250, 0.250) x8
Br (0.000, 0.000, 0.000) x4
N (0.000, 0.000, 0.500) x4

=====

Record 28
Entry from Alexandria via LeMat-Bulk: crystalline CrBrN2 at its relaxed geometry (GGA-PBE).

## Properties
- Volume: 10.17 Å³ per atom
- E_form (uncorrected): 2025 meV/atom
- Final energy: -19.845 eV/f.u.
- Fermi-level density of states: 10.561 states/eV/cell

Cell lengths 5.460, 5.460, 5.460 Å; angles 90.00, 90.00, 90.00 degrees
Space group Fm-3m (No. 225)
One atom of each set of equivalent atoms:
Cr (0.000, 0.000, 0.000) x4
Br (0.000, 0.000, 0.500) x4
N (0.250, 0.250, 0.250) x8